The following is a DFT calculation (GGA-PBE) of a relaxed Ho8Co2As crystal.

## Properties
Uncorrected energy, eV/cell: -116.1
Energy of formation, eV per atom: -0.23

a b c (Å): 8.0414 12.2376 5.8592
angles (deg): 90.00 102.02 90.00
Space group C2/m (No. 12)
Asymmetric unit:
Ho 0.0000 0.2382 0.0000
Ho 0.1295 0.5000 0.7919
Ho 0.2032 0.1353 0.6200
Co 0.0000 0.3134 0.5000
As 0.0000 0.0000 0.0000